# 1
First-principles (PBE) data for a relaxed structure of Ti2AlN, as listed in Alexandria.

Lattice parameters (Å, degrees): 4.274 4.274 4.274 60.00 60.00 60.00
Atoms (fractional coordinates):
1 Ti 0.250 0.250 0.250
2 Ti 0.750 0.750 0.750
3 Al 0.000 0.000 0.000
4 N 0.500 0.500 0.500

Energy relative to the elements, uncorrected: 516 meV/atom
M_tot: 0.000 μB per atom
Fermi-level density of states: 5.482 states/eV/f.u.
Calculated total energy: -6.45 eV per atom
Energy relative to the lowest polymorph listed for this composition: 1.691 eV per atom

=====

# 2
First-principles (PBE) data for a relaxed structure of Ti2AlN, as listed in Alexandria.

Lattice parameters (Å, degrees): 2.995 2.995 13.645 90.00 90.00 120.00
Atoms (fractional coordinates):
1 Ti 0.333 0.667 0.086
2 Ti 0.333 0.667 0.414
3 Ti 0.667 0.333 0.586
4 Ti 0.667 0.333 0.914
5 Al 0.333 0.667 0.750
6 Al 0.667 0.333 0.250
7 N 0.000 0.000 0.000
8 N 0.000 0.000 0.500

Energy relative to the elements, uncorrected: -1174 meV/atom
M_tot: 0.000 μB per atom
Fermi-level density of states: 2.167 states/eV/f.u.
Calculated total energy: -8.14 eV per atom
Energy relative to the lowest polymorph listed for this composition: 0.000 eV per atom

=====

# 3
First-principles (PBE) data for a relaxed structure of Ti3AlN, as listed in Alexandria.

Lattice parameters (Å, degrees): 5.269 5.269 7.641 111.91 111.91 46.75
Atoms (fractional coordinates):
1 Ti 0.109 0.109 0.197
2 Ti 0.133 0.133 0.666
3 Ti 0.356 0.356 0.058
4 Ti 0.644 0.644 0.942
5 Ti 0.867 0.867 0.334
6 Ti 0.891 0.891 0.803
7 Al 0.391 0.391 0.568
8 Al 0.609 0.609 0.432
9 N 0.123 0.123 0.932
10 N 0.877 0.877 0.068

Energy relative to the elements, uncorrected: -923 meV/atom
M_tot: 0.000 μB per atom
Fermi-level density of states: 3.106 states/eV/f.u.
Calculated total energy: -8.07 eV per atom